{"formula": "Ca2MgTe", "functional": "SCAN", "state": "single point on PBEsol structure", "final_energy_ev_per_atom": -15.609, "e_form_raw_ev_per_atom": -0.2210, "magnetic_moment_mub_per_cell": 0.000, "cell": [[-4.796, 0.271, 2.737], [-0.297, -1.749, 5.236], [-0.639, 3.651, 4.102]], "species": ["Ca", "Ca", "Te", "Mg"], "frac_coords": [[0.750, 0.750, 0.750], [0.000, 0.000, 0.000], [0.250, 0.250, 0.250], [0.500, 0.500, 0.500]]}